The following is a PBE+U calculation of a relaxed structure of NiIr2F, from the Alexandria database.

Computed properties:
* excess energy over the best structure of this formula in the dataset: 1.170 eV/f.u.
* density of states at the Fermi level: 4.50 states/eV/f.u.
* uncorrected energy: -4.5551 eV/atom
* ρ: 14.29 g/cm³

Cell lengths 6.5830, 6.5830, 5.2735 Å; angles 51.38, 51.38, 90.00 degrees
Last column: nearest neighbours and their distance in Å.
Atoms (fractional coordinates):
Ni (0.0000, 0.0000, 0.0000)  2 F 2.48, 4 Ir 2.57
Ni (0.7500, 0.2500, 0.5000)  2 F 2.48, 4 Ir 2.57
Ir (0.8750, 0.8406, 0.7500)  2 F 2.26, 2 Ir 2.52
Ir (0.5906, 0.1250, 0.2500)  2 F 2.26, 2 Ir 2.52
Ir (0.1594, 0.6250, 0.2500)  2 F 2.26, 2 Ir 2.52
Ir (0.3750, 0.4094, 0.7500)  2 F 2.26, 2 Ir 2.52
F (0.5000, 0.5000, 0.0000)  4 Ir 2.26, 2 Ni 2.48
F (0.2500, 0.7500, 0.5000)  4 Ir 2.26, 2 Ni 2.48

=====

The following is a PBE+U calculation of a relaxed structure of Ni3IrF, from the Alexandria database.

Computed properties:
* excess energy over the best structure of this formula in the dataset: 0.000 eV/f.u.
* density of states at the Fermi level: 2.10 states/eV/f.u.
* uncorrected energy: -3.3020 eV/atom
* ρ: 10.01 g/cm³

Cell lengths 4.0055, 4.0055, 4.0055 Å; angles 90.00, 90.00, 90.00 degrees
Last column: nearest neighbours and their distance in Å.
Atoms (fractional coordinates):
Ir (0.5000, 0.5000, 0.5000)  12 Ni 2.83
Ni (0.0000, 0.5000, 0.0000)  2 F 2.00
Ni (0.5000, 0.0000, 0.0000)  2 F 2.00
Ni (0.0000, 0.0000, 0.5000)  2 F 2.00
F (0.0000, 0.0000, 0.0000)  6 Ni 2.00

=====

The following is a PBE+U calculation of a relaxed structure of Ni2IrF, from the Alexandria database.

Computed properties:
* excess energy over the best structure of this formula in the dataset: 2.542 eV/f.u.
* density of states at the Fermi level: 4.80 states/eV/f.u.
* uncorrected energy: -3.0424 eV/atom
* ρ: 11.19 g/cm³

Cell lengths 4.1010, 4.1010, 4.1010 Å; angles 60.00, 60.00, 60.00 degrees
Last column: nearest neighbours and their distance in Å.
Atoms (fractional coordinates):
Ni (0.7500, 0.7500, 0.7500)  4 F 2.51, 4 Ir 2.51
Ni (0.2500, 0.2500, 0.2500)  4 F 2.51, 4 Ir 2.51
Ir (0.5000, 0.5000, 0.5000)  8 Ni 2.51
F (0.0000, 0.0000, 0.0000)  8 Ni 2.51

=====

The following is a PBE+U calculation of a relaxed structure of NiIr2F, from the Alexandria database.

Computed properties:
* excess energy over the best structure of this formula in the dataset: 0.000 eV/f.u.
* density of states at the Fermi level: 3.57 states/eV/f.u.
* uncorrected energy: -4.8475 eV/atom
* ρ: 14.90 g/cm³

Cell lengths 4.1758, 4.1758, 4.1758 Å; angles 60.00, 60.00, 60.00 degrees
Last column: nearest neighbours and their distance in Å.
Atoms (fractional coordinates):
F (0.0000, 0.0000, 0.0000)  8 Ir 2.56
Ir (0.2500, 0.2500, 0.2500)  4 Ni 2.56, 4 F 2.56
Ir (0.7500, 0.7500, 0.7500)  4 F 2.56, 4 Ni 2.56
Ni (0.5000, 0.5000, 0.5000)  8 Ir 2.56

=====

The following is a PBE+U calculation of a relaxed structure of NiIr2F11, from the Alexandria database.

Computed properties:
* density of states at the Fermi level: 8.20 states/eV/f.u.
* uncorrected energy: -4.3969 eV/atom
* ρ: 4.83 g/cm³

Cell lengths 8.1152, 8.4669, 8.4669 Å; angles 77.07, 61.36, 61.36 degrees
Last column: nearest neighbours and their distance in Å.
Atoms (fractional coordinates):
Ir (0.7798, 0.0870, 0.9130)  6 F 1.89-2.01
Ir (0.2202, 0.9130, 0.0870)  6 F 1.89-2.01
Ir (0.2798, 0.4130, 0.5870)  6 F 1.89-2.01
Ir (0.7202, 0.5870, 0.4130)  6 F 1.89-2.01
F (0.5742, 0.1711, 0.8289)  1 Ir 1.89
F (0.0000, 0.0000, 0.0000)  2 Ir 2.01
F (0.9483, 0.3408, 0.3977)  1 Ni 1.96, 1 Ir 2.00
F (0.0742, 0.3289, 0.6711)  1 Ir 1.89
F (0.5000, 0.5000, 0.5000)  2 Ir 2.01
F (0.6868, 0.6023, 0.6592)  1 Ni 1.96, 1 Ir 2.00
F (0.9258, 0.6711, 0.3289)  1 Ir 1.89
F (0.5517, 0.1023, 0.1592)  1 Ni 1.96, 1 Ir 2.00
F (0.5061, 0.8236, 0.4454)  1 Ir 1.89
F (0.1868, 0.1592, 0.1023)  1 Ni 1.96, 1 Ir 2.00
F (0.4258, 0.8289, 0.1711)  1 Ir 1.89
F (0.4483, 0.8977, 0.8408)  1 Ni 1.96, 1 Ir 2.00
F (0.7751, 0.5546, 0.1764)  1 Ir 1.89
F (0.0517, 0.6592, 0.6023)  1 Ni 1.96, 1 Ir 2.00
F (0.4939, 0.1764, 0.5546)  1 Ir 1.89
F (0.3132, 0.3977, 0.3408)  1 Ni 1.96, 1 Ir 2.00
F (0.2751, 0.6764, 0.0546)  1 Ir 1.89
F (0.2249, 0.4454, 0.8236)  1 Ir 1.89
F (0.8132, 0.8408, 0.8977)  1 Ni 1.96, 1 Ir 2.00
F (0.0061, 0.9454, 0.3236)  1 Ir 1.89
F (0.7249, 0.3236, 0.9454)  1 Ir 1.89
F (0.9939, 0.0546, 0.6764)  1 Ir 1.89
Ni (0.2500, 0.2500, 0.2500)  4 F 1.96
Ni (0.7500, 0.7500, 0.7500)  4 F 1.96

=====

The following is a PBE+U calculation of a relaxed structure of Ni2IrF, from the Alexandria database.

Computed properties:
* excess energy over the best structure of this formula in the dataset: 0.000 eV/f.u.
* density of states at the Fermi level: 1.82 states/eV/f.u.
* uncorrected energy: -3.6779 eV/atom
* ρ: 9.84 g/cm³

Cell lengths 6.0199, 6.0199, 5.2431 Å; angles 54.96, 54.96, 90.00 degrees
Last column: nearest neighbours and their distance in Å.
Atoms (fractional coordinates):
Ir (0.0000, 0.0000, 0.0000)  4 Ni 2.50
Ir (0.7500, 0.2500, 0.5000)  4 Ni 2.50
F (0.2500, 0.7500, 0.5000)  4 Ni 2.05
F (0.5000, 0.5000, 0.0000)  4 Ni 2.05
Ni (0.3750, 0.4315, 0.7500)  2 F 2.05
Ni (0.1815, 0.6250, 0.2500)  2 F 2.05
Ni (0.8750, 0.8185, 0.7500)  2 F 2.05
Ni (0.5685, 0.1250, 0.2500)  2 F 2.05

=====

The following is a PBE+U calculation of a relaxed structure of NiIrO2F, from the Alexandria database.

Computed properties:
* density of states at the Fermi level: 2.35 states/eV/f.u.
* uncorrected energy: -4.9968 eV/atom
* ρ: 6.62 g/cm³

Cell lengths 3.6613, 3.6613, 5.6534 Å; angles 90.00, 90.00, 90.00 degrees
Last column: nearest neighbours and their distance in Å.
Atoms (fractional coordinates):
Ni (0.5000, 0.5000, 0.5000)  4 F 2.59
O (0.0000, 0.5000, 0.0000)  2 Ir 1.83
O (0.5000, 0.0000, 0.0000)  2 Ir 1.83
F (0.0000, 0.0000, 0.5000)  4 Ni 2.59, 2 Ir 2.83
Ir (0.0000, 0.0000, 0.0000)  4 O 1.83

=====

The following is a PBE+U calculation of a relaxed structure of NiIrO2F, from the Alexandria database.

Computed properties:
* density of states at the Fermi level: 5.67 states/eV/f.u.
* uncorrected energy: -4.4717 eV/atom
* ρ: 8.90 g/cm³

Cell lengths 3.8581, 3.8581, 3.7858 Å; angles 90.00, 90.00, 90.00 degrees
Last column: nearest neighbours and their distance in Å.
Atoms (fractional coordinates):
O (0.5000, 0.0000, 0.0000)  2 Ni 1.93
O (0.0000, 0.5000, 0.0000)  2 Ni 1.93
Ir (0.5000, 0.5000, 0.5000)  8 O 2.70, 4 F 2.73
Ni (0.0000, 0.0000, 0.0000)  2 F 1.89, 4 O 1.93
F (0.0000, 0.0000, 0.5000)  2 Ni 1.89

=====

The following is a PBE+U calculation of a relaxed structure of NiPIr2F, from the Alexandria database.

Computed properties:
* density of states at the Fermi level: 3.26 states/eV/f.u.
* uncorrected energy: -4.4865 eV/atom
* ρ: 11.18 g/cm³

Cell lengths 4.4844, 3.6428, 4.4844 Å; angles 90.00, 90.00, 90.00 degrees
Last column: nearest neighbours and their distance in Å.
Atoms (fractional coordinates):
Ni (0.0000, 0.5000, 0.0000)  2 F 1.82
Ir (0.5000, 0.0000, 0.0000)  2 F 2.24
Ir (0.0000, 0.0000, 0.5000)  2 F 2.24
P (0.5000, 0.5000, 0.5000)  8 Ir 2.89, 4 Ni 3.17
F (0.0000, 0.0000, 0.0000)  2 Ni 1.82

=====

The following is a PBE+U calculation of a relaxed structure of NiIrPbF2, from the Alexandria database.

Computed properties:
* density of states at the Fermi level: 3.51 states/eV/f.u.
* uncorrected energy: -3.7553 eV/atom
* ρ: 7.90 g/cm³

Cell lengths 4.3850, 5.4226, 4.3850 Å; angles 90.00, 90.00, 90.00 degrees
Last column: nearest neighbours and their distance in Å.
Atoms (fractional coordinates):
Ir (0.0000, 0.5000, 0.0000)  2 Pb 2.71
F (0.0000, 0.0000, 0.5000)  2 Pb 2.19
F (0.5000, 0.0000, 0.0000)  2 Pb 2.19
Ni (0.5000, 0.5000, 0.5000)  4 Ir 3.10
Pb (0.0000, 0.0000, 0.0000)  4 F 2.19

=====

The following is a PBE+U calculation of a relaxed structure of NiIrPt2F, from the Alexandria database.

Computed properties:
* density of states at the Fermi level: 4.15 states/eV/f.u.
* uncorrected energy: -3.9475 eV/atom
* ρ: 9.83 g/cm³

Cell lengths 4.7628, 4.9170, 4.7628 Å; angles 90.00, 90.00, 90.00 degrees
Last column: nearest neighbours and their distance in Å.
Atoms (fractional coordinates):
Ni (0.0000, 0.5000, 0.0000)  2 Ir 2.46
Pt (0.0000, 0.0000, 0.5000)  2 Ir 2.38
Pt (0.5000, 0.0000, 0.0000)  2 Ir 2.38
Ir (0.0000, 0.0000, 0.0000)  4 Pt 2.38, 2 Ni 2.46
F (0.5000, 0.5000, 0.5000)  4 Ni 3.37, 8 Pt 3.42

=====

The following is a PBE+U calculation of a relaxed structure of Rb2NiIrF, from the Alexandria database.

Computed properties:
* density of states at the Fermi level: 2.78 states/eV/f.u.
* uncorrected energy: -2.8200 eV/atom
* ρ: 3.96 g/cm³

Cell lengths 6.2959, 6.2959, 4.6689 Å; angles 90.00, 90.00, 90.00 degrees
Last column: nearest neighbours and their distance in Å.
Atoms (fractional coordinates):
Rb (0.5000, 0.0000, 0.0000)  2 Ir 3.15
Rb (0.0000, 0.5000, 0.0000)  2 Ir 3.15
Ni (0.0000, 0.0000, 0.5000)  2 Ir 2.33
F (0.5000, 0.5000, 0.5000)  8 Rb 3.92
Ir (0.0000, 0.0000, 0.0000)  2 Ni 2.33

=====

The following is a PBE+U calculation of a relaxed structure of Ni2IrSF, from the Alexandria database.

Computed properties:
* density of states at the Fermi level: 3.15 states/eV/f.u.
* uncorrected energy: -3.5606 eV/atom
* ρ: 8.45 g/cm³

Cell lengths 3.7060, 5.1622, 3.7060 Å; angles 90.00, 90.00, 90.00 degrees
Last column: nearest neighbours and their distance in Å.
Atoms (fractional coordinates):
Ir (0.5000, 0.5000, 0.5000)  4 S 2.62
Ni (0.5000, 0.0000, 0.0000)  2 F 1.85
Ni (0.0000, 0.0000, 0.5000)  2 F 1.85
S (0.0000, 0.5000, 0.0000)  2 F 2.58, 4 Ir 2.62
F (0.0000, 0.0000, 0.0000)  4 Ni 1.85

=====

The following is a PBE+U calculation of a relaxed structure of SiNiIrF2, from the Alexandria database.

Computed properties:
* density of states at the Fermi level: 2.24 states/eV/f.u.
* uncorrected energy: -4.7560 eV/atom
* ρ: 6.97 g/cm³

Cell lengths 3.6218, 5.7564, 3.6218 Å; angles 90.00, 90.00, 90.00 degrees
Last column: nearest neighbours and their distance in Å.
Atoms (fractional coordinates):
Ni (0.0000, 0.0000, 0.0000)  4 F 1.81
F (0.5000, 0.0000, 0.0000)  2 Ni 1.81
F (0.0000, 0.0000, 0.5000)  2 Ni 1.81
Ir (0.0000, 0.5000, 0.0000)  4 Si 2.56
Si (0.5000, 0.5000, 0.5000)  4 Ir 2.56